# Pm4Dy3Tm4

An optimized crystal structure of Pm4Dy3Tm4 (PBE, the Alexandria database). Values from VASP.

Output
Total DFT energy (no corrections) ... -4.541 eV per atom
Density of states at the Fermi level ... 1.713 states/eV/atom
Total magnetization ... 0.00 Bohr magnetons per cell
Formation enthalpy at 0 K ... 6 kJ/mol of atoms

```
&SYSTEM
  ibrav = 0, nat = 11, ntyp = 3
/
ATOMIC_SPECIES
Pm 145.00 Pm.upf
Dy 162.50 Dy.upf
Tm 168.93 Tm.upf
ATOMIC_POSITIONS angstrom
Pm 7.2309 -13.4166 -0.4105
Pm 4.7444 -7.4343 -1.2804
Pm 5.3344 -9.4283 -4.1454
Pm 2.8476 -3.4455 -5.0156
Dy 8.6064 -10.9863 -2.8145
Dy 1.4721 -5.8759 -2.6115
Dy 0.0001 -0.0002 0.0000
Tm 9.2733 -14.5869 -2.6415
Tm 0.8057 -2.2760 -2.7844
Tm 4.7445 -5.9254 -4.2914
Tm 5.3340 -10.9369 -1.1346
CELL_PARAMETERS angstrom
-2.4760 -2.2158 -1.1074
2.1808 0.1545 -5.1878
10.3739 -14.8010 0.8695
```